# LuThPb2

LuThPb2 after structural relaxation (PBE, Alexandria via LeMat-Bulk).

Cell: 3.577 3.577 8.926 Å, 90.00 90.00 90.00°
Space group P4/mmm (No. 123)
Unique sites:
1 Lu 0.000 0.000 0.000 x1
2 Th 0.000 0.000 0.500 x1
3 Pb 0.500 0.500 0.237 x2

- Formation energy: -0.29 eV/atom
- Crystal system: tetragonal
- Total magnetization: 0.01 μB per formula unit